Entry 1:
Entry from Alexandria: a relaxed Tb3NdSb3 crystal (PBE).

Values from the calculation:
The energy above the lowest structure with this stoichiometry comes out at 104 meV per atom. The uncorrected formation energy is -0.916 eV/atom. For the volume, the calculation gives 446 Å³ per cell. Its magnetization is 0.000 μB/atom. The crystal system is trigonal. The total DFT energy (no corrections) is -5.3485 eV per atom.

Cell lengths 8.117, 8.117, 8.117 Å; angles 68.50, 68.50, 68.50 degrees
Fractional positions:
1 Tb 0.088 0.351 0.817
2 Tb 0.183 0.912 0.649
3 Tb 0.351 0.817 0.088
4 Tb 0.649 0.183 0.912
5 Tb 0.817 0.088 0.351
6 Tb 0.912 0.649 0.183
7 Nd 0.334 0.334 0.334
8 Nd 0.666 0.666 0.666
9 Sb 0.078 0.704 0.463
10 Sb 0.296 0.537 0.922
11 Sb 0.463 0.078 0.704
12 Sb 0.537 0.922 0.296
13 Sb 0.704 0.463 0.078
14 Sb 0.922 0.296 0.537

***

Entry 2:
Entry from Alexandria: a relaxed Na6TbTl12 crystal (PBE).

Values from the calculation:
For the volume, the calculation gives 573 Å³ per cell. For the formation energy, the calculation gives -47 meV per atom. Its magnetization is 0.000 μB/atom. The crystal system is trigonal. The total DFT energy (no corrections) is -2.2020 eV per atom.

Cell lengths 8.330, 8.330, 8.330 Å; angles 94.43, 94.43, 94.43 degrees
Fractional positions:
1 Na 0.207 0.770 0.380
2 Na 0.230 0.620 0.793
3 Na 0.380 0.207 0.770
4 Na 0.620 0.793 0.230
5 Na 0.770 0.380 0.207
6 Na 0.793 0.230 0.620
7 Tb 0.500 0.500 0.500
8 Tl 0.041 0.958 0.711
9 Tl 0.042 0.289 0.959
10 Tl 0.134 0.362 0.460
11 Tl 0.289 0.959 0.042
12 Tl 0.362 0.460 0.134
13 Tl 0.460 0.134 0.362
14 Tl 0.540 0.866 0.638
15 Tl 0.638 0.540 0.866
16 Tl 0.711 0.041 0.958
17 Tl 0.866 0.638 0.540
18 Tl 0.958 0.711 0.041
19 Tl 0.959 0.042 0.289

***

Entry 3:
Entry from Alexandria: a relaxed Np2Te5Pd crystal (PBE).

Values from the calculation:
The uncorrected formation energy is -0.539 eV/atom. For the volume, the calculation gives 435 Å³ per cell. Its magnetization is 0.985 μB/atom. The crystal system is orthorhombic. The total DFT energy (no corrections) is -6.3871 eV per atom.

Cell lengths 8.419, 12.009, 4.302 Å; angles 90.00, 90.00, 90.00 degrees
Fractional positions:
1 Np 0.084 0.174 0.000
2 Np 0.416 0.674 0.000
3 Np 0.584 0.326 0.000
4 Np 0.916 0.826 0.000
5 Te 0.000 0.000 0.500
6 Te 0.137 0.706 0.500
7 Te 0.188 0.441 0.000
8 Te 0.312 0.941 0.000
9 Te 0.363 0.206 0.500
10 Te 0.500 0.500 0.500
11 Te 0.637 0.794 0.500
12 Te 0.688 0.059 0.000
13 Te 0.812 0.559 0.000
14 Te 0.863 0.294 0.500
15 Pd 0.000 0.500 0.500
16 Pd 0.500 0.000 0.500

***

Entry 4:
Entry from Alexandria: a relaxed NiPtCl crystal (PBE).

Values from the calculation:
The energy above the lowest structure with this stoichiometry comes out at 68 meV per atom. The uncorrected formation energy is 0.042 eV/atom. For the volume, the calculation gives 114 Å³ per cell. Its magnetization is 0.318 μB/atom. The crystal system is trigonal. The total DFT energy (no corrections) is -4.5140 eV per atom.

Cell lengths 3.545, 3.545, 10.436 Å; angles 90.00, 90.00, 120.00 degrees
Fractional positions:
1 Ni 0.000 0.000 0.000
2 Ni 0.333 0.667 0.121
3 Pt 0.333 0.667 0.865
4 Pt 0.667 0.333 0.708
5 Cl 0.000 0.000 0.572
6 Cl 0.667 0.333 0.233

***

Entry 5:
Entry from Alexandria: a relaxed ScSiRh2 crystal (PBE).

Values from the calculation:
The uncorrected formation energy is -0.832 eV/atom. For the volume, the calculation gives 119 Å³ per cell. Its magnetization is 0.000 μB/atom. The crystal system is tetragonal. The total DFT energy (no corrections) is -7.4464 eV per atom.

Cell lengths 3.703, 3.703, 8.655 Å; angles 90.00, 90.00, 90.00 degrees
Fractional positions:
1 Sc 0.000 0.000 0.000
2 Sc 0.500 0.500 0.500
3 Si 0.000 0.500 0.750
4 Si 0.500 0.000 0.250
5 Rh 0.000 0.000 0.500
6 Rh 0.000 0.500 0.250
7 Rh 0.500 0.000 0.750
8 Rh 0.500 0.500 0.000

***

Entry 6:
Entry from Alexandria: a relaxed Tb3Pr7Y2 crystal (PBE).

Values from the calculation:
The energy above the lowest structure with this stoichiometry comes out at 0 meV per atom. For the volume, the calculation gives 416 Å³ per cell. For the formation energy, the calculation gives 69 meV per atom. Its magnetization is 0.000 μB/atom. The crystal system is monoclinic. The total DFT energy (no corrections) is -4.9540 eV per atom.

Cell lengths 6.548, 3.594, 17.769 Å; angles 90.00, 95.83, 90.00 degrees
Fractional positions:
1 Tb 0.000 0.000 0.000
2 Tb 0.044 0.500 0.660
3 Tb 0.956 0.500 0.340
4 Pr 0.224 0.500 0.167
5 Pr 0.242 0.000 0.506
6 Pr 0.274 0.000 0.828
7 Pr 0.500 0.500 0.000
8 Pr 0.726 0.000 0.172
9 Pr 0.758 0.000 0.494
10 Pr 0.776 0.500 0.833
11 Y 0.442 0.000 0.330
12 Y 0.558 0.000 0.670

***

Entry 7:
Entry from Alexandria: a relaxed BaInAg2Hg crystal (PBE).

Values from the calculation:
The energy above the lowest structure with this stoichiometry comes out at 0 meV per atom. For the volume, the calculation gives 276 Å³ per cell. For the formation energy, the calculation gives -272 meV per atom. Its magnetization is 0.000 μB/atom. The crystal system is orthorhombic. The total DFT energy (no corrections) is -2.4052 eV per atom.

Cell lengths 4.649, 4.659, 12.753 Å; angles 90.00, 90.00, 90.00 degrees
Fractional positions:
1 Ba 0.000 0.000 0.000
2 Ba 0.500 0.500 0.500
3 In 0.000 0.500 0.743
4 In 0.500 0.000 0.243
5 Ag 0.000 0.000 0.615
6 Ag 0.000 0.500 0.247
7 Ag 0.500 0.000 0.747
8 Ag 0.500 0.500 0.115
9 Hg 0.000 0.000 0.390
10 Hg 0.500 0.500 0.890

***

Entry 8:
Entry from Alexandria: a relaxed KUBr6 crystal (PBE).

Values from the calculation:
The uncorrected formation energy is -1.390 eV/atom. For the volume, the calculation gives 330 Å³ per cell. Its magnetization is 0.125 μB/atom. The crystal system is triclinic. The total DFT energy (no corrections) is -4.1929 eV per atom.

Cell lengths 7.457, 7.464, 8.078 Å; angles 62.53, 62.61, 60.07 degrees
Fractional positions:
1 K 0.000 0.000 0.000
2 U 0.500 0.500 0.500
3 Br 0.110 0.697 0.727
4 Br 0.302 0.533 0.274
5 Br 0.466 0.110 0.728
6 Br 0.534 0.890 0.272
7 Br 0.698 0.467 0.726
8 Br 0.890 0.303 0.273

***

Entry 9:
Entry from Alexandria: a relaxed NbGaReNi2 crystal (PBE).

Values from the calculation:
For the volume, the calculation gives 93 Å³ per cell. For the formation energy, the calculation gives 1725 meV per atom. Its magnetization is 0.400 μB/atom. The crystal system is tetragonal. The total DFT energy (no corrections) is -5.6964 eV per atom.

Cell lengths 4.404, 4.404, 4.788 Å; angles 90.00, 90.00, 90.00 degrees
Fractional positions:
1 Nb 0.000 0.000 0.000
2 Ga 0.000 0.000 0.500
3 Re 0.500 0.500 0.500
4 Ni 0.000 0.500 0.000
5 Ni 0.500 0.000 0.000

***

Entry 10:
Entry from Alexandria: a relaxed Sm2Al3CuPd4 crystal (PBE).

Values from the calculation:
For the volume, the calculation gives 189 Å³ per cell. For the formation energy, the calculation gives -759 meV per atom. Its magnetization is 0.000 μB/atom. The crystal system is tetragonal. The total DFT energy (no corrections) is -5.3123 eV per atom.

Cell lengths 4.298, 4.298, 10.247 Å; angles 90.00, 90.00, 90.00 degrees
Fractional positions:
1 Sm 0.000 0.500 0.247
2 Sm 0.500 0.000 0.753
3 Al 0.000 0.000 0.000
4 Al 0.000 0.500 0.625
5 Al 0.500 0.000 0.375
6 Cu 0.500 0.500 0.000
7 Pd 0.000 0.000 0.500
8 Pd 0.000 0.500 0.866
9 Pd 0.500 0.000 0.134
10 Pd 0.500 0.500 0.500

***

> Look up the total DFT energy (no corrections) of the fifth one.

-7.4464 eV per atom

***

> Which of these has the lowest total DFT energy (no corrections)?

ScSiRh2

***

Please write out number 7 again, unchanged.
Entry from Alexandria: a relaxed BaInAg2Hg crystal (PBE).

Values from the calculation:
The energy above the lowest structure with this stoichiometry comes out at 0 meV per atom. For the volume, the calculation gives 276 Å³ per cell. For the formation energy, the calculation gives -272 meV per atom. Its magnetization is 0.000 μB/atom. The crystal system is orthorhombic. The total DFT energy (no corrections) is -2.4052 eV per atom.

Cell lengths 4.649, 4.659, 12.753 Å; angles 90.00, 90.00, 90.00 degrees
Fractional positions:
1 Ba 0.000 0.000 0.000
2 Ba 0.500 0.500 0.500
3 In 0.000 0.500 0.743
4 In 0.500 0.000 0.243
5 Ag 0.000 0.000 0.615
6 Ag 0.000 0.500 0.247
7 Ag 0.500 0.000 0.747
8 Ag 0.500 0.500 0.115
9 Hg 0.000 0.000 0.390
10 Hg 0.500 0.500 0.890